[1]
Crystalline RbGdHf at its relaxed geometry, computed with PBE-GGA.

Cell: 5.7230 5.7230 5.7230 Å, 60.00 60.00 60.00°
With the nearest neighbours (Å) after each atom.
Atoms (fractional coordinates):
Rb: 0.0000 0.0000 0.0000  4 Hf 3.50
Gd: 0.5000 0.5000 0.5000  4 Hf 3.50
Hf: 0.7500 0.7500 0.7500  4 Gd 3.50, 4 Rb 3.50

Values from the calculation:
- M_tot: 4.5 μB per formula unit
- Symmetry: No. 216
- Crystal system: cubic
- Energy: -3.5492 eV per atom
- ρ: 5.3 g/cm3

[2]
Crystalline Gd2HfS5 at its relaxed geometry, computed with PBE-GGA.

Cell: 11.5435 7.7966 7.2757 Å, 90.00 90.00 90.00°
With the nearest neighbours (Å) after each atom.
Atoms (fractional coordinates):
Gd: 0.1780 0.0024 0.0254  8 S 2.83-2.99
Gd: 0.1780 0.4976 0.0254  8 S 2.83-2.99
Gd: 0.3220 0.5024 0.5254  8 S 2.83-2.99
Gd: 0.3220 0.9976 0.5254  8 S 2.83-2.99
Gd: 0.6780 0.0024 0.4746  8 S 2.83-2.99
Gd: 0.6780 0.4976 0.4746  8 S 2.83-2.99
Gd: 0.8220 0.5024 0.9746  8 S 2.83-2.99
Gd: 0.8220 0.9976 0.9746  8 S 2.83-2.99
Hf: 0.0065 0.7500 0.5753  7 S 2.52-2.69
Hf: 0.4935 0.2500 0.0753  7 S 2.52-2.69
Hf: 0.5065 0.7500 0.9247  7 S 2.52-2.69
Hf: 0.9935 0.2500 0.4247  7 S 2.52-2.69
S: 0.0040 0.7500 0.9456  1 Hf 2.69, 4 Gd 2.86-2.87
S: 0.0914 0.0364 0.6615  2 Hf 2.52-2.65
S: 0.0914 0.4636 0.6615  2 Hf 2.52-2.65
S: 0.1815 0.7500 0.3344  1 Hf 2.67, 4 Gd 2.88-2.99
S: 0.2068 0.2500 0.3134  1 Hf 2.59, 4 Gd 2.83-2.87
S: 0.2932 0.7500 0.8134  1 Hf 2.59, 4 Gd 2.83-2.87
S: 0.3185 0.2500 0.8344  1 Hf 2.67, 4 Gd 2.88-2.99
S: 0.4086 0.5364 0.1615  2 Hf 2.52-2.65
S: 0.4086 0.9636 0.1615  2 Hf 2.52-2.65
S: 0.4960 0.2500 0.4456  1 Hf 2.69, 4 Gd 2.86-2.87
S: 0.5040 0.7500 0.5544  1 Hf 2.69, 4 Gd 2.86-2.87
S: 0.5914 0.0364 0.8385  2 Hf 2.52-2.65
S: 0.5914 0.4636 0.8385  2 Hf 2.52-2.65
S: 0.6815 0.7500 0.1656  1 Hf 2.67, 4 Gd 2.88-2.99
S: 0.7068 0.2500 0.1866  1 Hf 2.59, 4 Gd 2.83-2.87
S: 0.7932 0.7500 0.6866  1 Hf 2.59, 4 Gd 2.83-2.87
S: 0.8185 0.2500 0.6656  1 Hf 2.67, 4 Gd 2.88-2.99
S: 0.9086 0.5364 0.3385  2 Hf 2.52-2.65
S: 0.9086 0.9636 0.3385  2 Hf 2.52-2.65
S: 0.9960 0.2500 0.0544  1 Hf 2.69, 4 Gd 2.86-2.87

Values from the calculation:
- M_tot: 0.0 μB per formula unit
- Symmetry: No. 62
- Crystal system: orthorhombic
- Energy: -6.8863 eV per atom
- ρ: 6.6 g/cm3

[3]
Crystalline SmGdHf2Sb2 at its relaxed geometry, computed with PBE-GGA.

Cell: 8.8921 8.8921 8.8921 Å, 152.06 152.06 39.93°
With the nearest neighbours (Å) after each atom.
Atoms (fractional coordinates):
Sm: 0.0000 0.0000 0.0000  5 Sb 3.14-3.23
Gd: 0.3529 0.3529 0.0000  5 Sb 3.13-3.26
Hf: 0.1774 0.6774 0.5000  4 Hf 3.04, 4 Sb 3.04-3.05
Hf: 0.6774 0.1774 0.5000  4 Hf 3.04, 4 Sb 3.04-3.05
Sb: 0.5479 0.5479 0.0000  4 Hf 3.05, 4 Sm 3.14, 1 Gd 3.26
Sb: 0.8065 0.8065 0.0000  4 Hf 3.04, 4 Gd 3.13, 1 Sm 3.23

Values from the calculation:
- M_tot: 0.0 μB per formula unit
- Symmetry: No. 107
- Crystal system: tetragonal
- Energy: -6.9745 eV per atom
- ρ: 9.8 g/cm3

[4]
Crystalline GdYHf2Sb2 at its relaxed geometry, computed with PBE-GGA.

Cell: 8.8277 8.8277 8.8277 Å, 152.01 152.01 40.00°
With the nearest neighbours (Å) after each atom.
Atoms (fractional coordinates):
Gd: 0.0000 0.0000 0.0000  5 Sb 3.11-3.19
Y: 0.6471 0.6471 0.0000  5 Sb 3.11-3.20
Hf: 0.3232 0.8232 0.5000  4 Hf 3.02, 4 Sb 3.04-3.05
Hf: 0.8232 0.3232 0.5000  4 Hf 3.02, 4 Sb 3.04-3.05
Sb: 0.1924 0.1924 0.0000  4 Hf 3.04, 4 Y 3.11, 1 Gd 3.19
Sb: 0.4542 0.4542 0.0000  4 Hf 3.05, 4 Gd 3.11, 1 Y 3.20

Values from the calculation:
- M_tot: 0.0 μB per formula unit
- Symmetry: No. 107
- Crystal system: tetragonal
- Energy: -7.2715 eV per atom
- ρ: 9.3 g/cm3

[5]
Crystalline GdHfSc at its relaxed geometry, computed with PBE-GGA.

Cell: 5.0320 5.0320 5.0320 Å, 60.00 60.00 60.00°
With the nearest neighbours (Å) after each atom.
Atoms (fractional coordinates):
Gd: 0.0000 0.0000 0.0000  4 Hf 3.08
Hf: 0.2500 0.2500 0.2500  4 Gd 3.08, 4 Sc 3.08
Sc: 0.5000 0.5000 0.5000  4 Hf 3.08

Values from the calculation:
- M_tot: 0.7 μB per formula unit
- Symmetry: No. 216
- Crystal system: cubic
- ρ: 7.0 g/cm3
- Energy of formation from the pure elements: 0.90 eV/atom

[6]
Crystalline GdHfSi at its relaxed geometry, computed with PBE-GGA.

Cell: 4.6535 4.6535 4.6535 Å, 60.00 60.00 60.00°
With the nearest neighbours (Å) after each atom.
Atoms (fractional coordinates):
Gd: 0.0000 0.0000 0.0000  4 Si 2.85
Hf: 0.5000 0.5000 0.5000  4 Si 2.85
Si: 0.2500 0.2500 0.2500  4 Gd 2.85, 4 Hf 2.85

Values from the calculation:
- M_tot: 0.0 μB per formula unit
- Symmetry: No. 216
- Crystal system: cubic
- Energy: -6.9258 eV per atom
- ρ: 8.5 g/cm3

[7]
Crystalline Gd3HfSi4 at its relaxed geometry, computed with PBE-GGA.

Cell: 5.6331 3.8160 7.7537 Å, 90.00 91.03 90.00°
With the nearest neighbours (Å) after each atom.
Atoms (fractional coordinates):
Gd: 0.0000 0.0000 0.0000  7 Si 2.97-3.17
Gd: 0.2400 0.5000 0.3604  7 Si 2.87-3.07
Gd: 0.5046 0.5000 0.8560  7 Si 2.91-3.21
Hf: 0.7383 0.0000 0.4983  7 Si 2.81-3.06
Si: 0.2498 0.0000 0.6371  2 Si 2.50
Si: 0.4961 0.0000 0.1487  2 Si 2.47
Si: 0.7531 0.5000 0.2322  2 Si 2.47
Si: 0.9810 0.5000 0.7059  2 Si 2.50

Values from the calculation:
- M_tot: 0.0 μB per formula unit
- Symmetry: No. 6
- Crystal system: monoclinic
- Energy: -6.4709 eV per atom
- ρ: 7.6 g/cm3

[8]
Crystalline GdHfSi at its relaxed geometry, computed with PBE-GGA.

Cell: 4.8044 4.8044 4.8044 Å, 60.00 60.00 60.00°
With the nearest neighbours (Å) after each atom.
Atoms (fractional coordinates):
Gd: 0.0000 0.0000 0.0000  4 Hf 2.94, 4 Si 2.94
Hf: 0.7500 0.7500 0.7500  4 Gd 2.94
Si: 0.2500 0.2500 0.2500  4 Gd 2.94

Values from the calculation:
- M_tot: 0.4 μB per formula unit
- Symmetry: No. 216
- Crystal system: cubic
- Energy: -5.8140 eV per atom
- ρ: 7.7 g/cm3